## w
Al2SF: relaxed, PBE.

```
4
Lattice="1.719 -3.977 1.039 -2.699 -3.452 0.806 -0.246 -3.363 -2.912" Properties=species:S:1:pos:R:3 pbc="T T T"
F 0.000 0.000 0.000
Al -0.919 -8.094 -0.800
Al -0.306 -2.698 -0.267
S -0.613 -5.396 -0.534
```

## Properties
As for the density of states at the Fermi level: 1.79 states/eV/f.u.

***

## x
Al2SF: relaxed, PBE.

```
8
Lattice="4.438 0.000 0.000 0.000 4.438 0.000 2.219 2.219 7.003" Properties=species:S:1:pos:R:3 pbc="T T T"
Al 5.547 5.195 5.252
Al 3.328 3.680 5.252
Al 2.976 1.109 1.751
Al 1.462 3.328 1.751
F 2.219 2.219 0.000
F 2.219 4.438 3.501
S 0.000 0.000 0.000
S 4.438 2.219 3.501
```

## Properties
As for the density of states at the Fermi level: 0.70 states/eV/f.u.

***

Least stable of them? w.

***

## w
AlSbF: relaxed, PBE.

```
6
Lattice="3.125 0.007 -0.005 1.557 6.451 0.083 0.007 0.411 6.755" Properties=species:S:1:pos:R:3 pbc="T T T"
Al 0.786 2.345 4.137
Al 3.904 4.524 2.695
Sb 3.907 5.123 6.771
Sb 0.783 1.746 0.061
F 2.349 1.435 3.632
F 2.340 5.433 3.201
```

## Properties
As for the density of states at the Fermi level: 0.93 states/eV/f.u.

***

## x
AlSbF: relaxed, PBE.

```
6
Lattice="4.397 0.418 0.164 1.619 6.019 0.450 1.757 2.302 6.145" Properties=species:S:1:pos:R:3 pbc="T T T"
Sb 4.527 7.942 6.560
Sb 2.769 4.095 4.199
Al 5.092 3.479 3.063
Al 6.878 6.931 5.664
F 5.155 3.493 1.324
F 5.244 1.746 3.414
```

***

## y
AlSbF: relaxed, PBE.

```
6
Lattice="4.431 0.001 0.000 0.027 5.226 0.002 0.025 1.375 5.451" Properties=species:S:1:pos:R:3 pbc="T T T"
F 1.005 4.683 1.944
F 1.003 2.675 5.346
Al 4.253 0.378 0.918
Al 0.938 3.676 3.643
Sb 3.271 5.236 4.613
Sb 3.248 2.127 2.688
```

## Properties
As for the density of states at the Fermi level: 0.22 states/eV/f.u.

***

## z
AlSbF: relaxed, PBE.

```
12
Lattice="-2.995 -7.034 0.467 2.974 -1.117 2.244 -1.871 9.273 7.097" Properties=species:S:1:pos:R:3 pbc="T T T"
F -0.873 -5.247 1.915
F -3.619 3.568 6.573
F -3.295 -0.052 4.341
F -1.196 -1.627 4.146
Sb -0.957 3.474 2.998
Sb -0.962 0.027 1.288
Sb -0.405 7.552 7.668
Sb -0.410 4.104 5.958
Al 0.927 1.379 2.829
Al -2.154 2.910 7.674
Al -2.705 -1.167 3.004
Al -1.496 6.574 5.256
```

## Properties
As for the density of states at the Fermi level: 0.57 states/eV/f.u.

***

Least stable of them? w.

***

## w
AlSbF: relaxed, PBE.

```
12
Lattice="7.588 0.000 0.022 0.000 4.551 0.000 0.015 0.000 7.783" Properties=species:S:1:pos:R:3 pbc="T T T"
F 5.465 0.000 4.738
F 5.473 0.000 2.245
F 5.480 2.276 6.137
F 5.457 2.276 0.846
Sb 2.977 2.276 2.548
Sb 0.396 0.000 7.594
Sb 2.984 0.000 6.439
Sb 0.389 2.276 3.703
Al 7.240 2.276 1.143
Al 7.247 0.000 5.035
Al 4.174 0.000 3.403
Al 4.181 2.276 7.294
```

***

## x
AlSbF: relaxed, PBE.

```
6
Lattice="3.356 0.000 0.000 0.000 5.527 0.000 0.000 0.000 6.830" Properties=species:S:1:pos:R:3 pbc="T T T"
Al 0.000 0.000 1.932
Al 0.000 2.763 5.347
Sb 0.000 2.763 2.671
Sb 0.000 0.000 6.086
F 1.678 2.763 6.120
F 1.678 0.000 2.705
```

## Properties
As for the density of states at the Fermi level: 1.39 states/eV/f.u.

***

Least stable of them? x.

***

## w
AlSbF: relaxed, PBE.

```
12
Lattice="-2.367 -5.106 -2.469 -0.388 -2.898 6.365 -4.016 7.454 3.149" Properties=species:S:1:pos:R:3 pbc="T T T"
Sb -4.597 5.442 4.246
Sb -2.783 0.266 5.854
Sb -4.193 -2.356 4.574
Sb -1.991 -4.634 -0.183
F -1.497 -4.895 3.910
F -3.311 0.280 2.303
F -0.310 -2.318 5.092
F -2.124 2.857 3.485
Al -4.177 3.267 8.172
Al -1.976 0.988 3.415
Al -4.717 -0.961 2.361
Al -2.903 -6.136 3.968
```

***

## x
AlSbF: relaxed, PBE.

```
6
Lattice="-0.990 -2.557 -3.668 3.111 -4.119 0.786 -3.832 -4.105 2.483" Properties=species:S:1:pos:R:3 pbc="T T T"
Sb -0.214 -1.869 -0.477
Sb -1.379 -5.817 -1.627
F -0.297 -6.899 1.430
F -1.829 -8.909 0.239
Al -4.086 -6.037 -1.339
Al 0.289 -5.416 0.529
```

***

Least stable of them? x.

***

## w
AlSbF2: relaxed, PBE.

```
4
Lattice="0.000 3.193 3.193 3.193 0.000 3.193 3.193 3.193 0.000" Properties=species:S:1:pos:R:3 pbc="T T T"
Sb 3.193 3.193 3.193
Al 0.000 0.000 0.000
F 4.790 4.790 4.790
F 1.597 1.597 1.597
```

## Properties
As for the density of states at the Fermi level: 4.09 states/eV/f.u.

***

## x
AlSbF2: relaxed, PBE.

```
4
Lattice="-5.660 6.593 3.921 -7.385 4.039 4.476 -5.088 4.836 6.450" Properties=species:S:1:pos:R:3 pbc="T T T"
Al 0.000 0.000 0.000
Sb -9.067 7.734 7.423
F -17.041 14.536 13.951
F -1.093 0.932 0.895
```

## Properties
As for the density of states at the Fermi level: 2.72 states/eV/f.u.

***

## y
AlSbF2: relaxed, PBE.

```
8
Lattice="0.000 4.154 4.154 4.154 0.000 4.154 4.154 4.154 0.000" Properties=species:S:1:pos:R:3 pbc="T T T"
Al 0.000 0.000 0.000
Al 2.077 2.077 2.077
F 3.115 1.038 3.115
F 1.038 3.115 3.115
F 1.038 1.038 1.038
F 3.115 3.115 1.038
Sb 4.154 4.154 4.154
Sb 6.231 6.231 6.231
```

## Properties
As for the density of states at the Fermi level: 1.21 states/eV/f.u.

***

Least stable of them? w.

***

## w
AlSbTe2F: relaxed, PBE.

```
5
Lattice="-2.106 -4.755 -0.594 1.468 -1.257 4.865 -4.609 1.809 1.858" Properties=species:S:1:pos:R:3 pbc="T T T"
Al 0.000 0.000 0.000
F -2.624 -2.102 3.065
Te 0.734 -0.629 2.432
Te -1.053 -2.378 -0.297
Sb -2.304 0.905 0.929
```

## Properties
As for the density of states at the Fermi level: 4.33 states/eV/f.u.

***

## x
AlSbTe2F: relaxed, PBE.

```
5
Lattice="-2.929 -1.116 4.368 -4.189 -1.253 -3.129 1.381 -4.229 -0.155" Properties=species:S:1:pos:R:3 pbc="T T T"
Te -2.094 -0.627 -1.564
Te -1.464 -0.558 2.184
F 0.000 0.000 0.000
Sb 0.690 -2.115 -0.077
Al -2.868 -3.299 0.542
```

## Properties
As for the density of states at the Fermi level: 3.55 states/eV/f.u.

***

Least stable of them? w.

***

## w
ScAlF2: relaxed, PBE.

```
4
Lattice="7.494 -0.012 -0.007 6.933 2.845 -0.007 6.933 1.361 2.498" Properties=species:S:1:pos:R:3 pbc="T T T"
F 19.381 3.805 2.253
F 1.980 0.389 0.230
Al 0.000 0.000 0.000
Sc 10.680 2.097 1.242
```

## Properties
As for the density of states at the Fermi level: 1.04 states/eV/f.u.

***

## x
ScAlF2: relaxed, PBE.

```
4
Lattice="0.000 3.084 3.084 3.084 0.000 3.084 3.084 3.084 0.000" Properties=species:S:1:pos:R:3 pbc="T T T"
Sc 3.084 3.084 3.084
Al 0.000 0.000 0.000
F 1.542 1.542 1.542
F 4.627 4.627 4.627
```

## Properties
As for the density of states at the Fermi level: 1.81 states/eV/f.u.

***

## y
ScAlF2: relaxed, PBE.

```
8
Lattice="-2.660 2.660 5.834 2.660 -2.660 5.834 2.660 2.660 -5.834" Properties=species:S:1:pos:R:3 pbc="T T T"
F -0.333 3.990 1.458
F 0.333 1.330 1.458
F 1.330 2.993 4.375
F -1.330 2.327 4.375
Al 2.660 0.000 2.917
Al 0.000 0.000 5.834
Sc 0.000 2.660 2.917
Sc 0.000 0.000 0.000
```

## Properties
As for the density of states at the Fermi level: 2.33 states/eV/f.u.

***

Least stable of them? x.

***

## w
AlSeF3: relaxed, PBE.

```
5
Lattice="4.479 0.000 0.000 0.000 4.479 0.000 0.000 0.000 4.479" Properties=species:S:1:pos:R:3 pbc="T T T"
F 0.000 0.000 2.239
F 0.000 2.239 0.000
F 2.239 0.000 0.000
Al 2.239 2.239 2.239
Se 0.000 0.000 0.000
```

## Properties
As for the density of states at the Fermi level: 1.53 states/eV/f.u.

***

## x
AlSeF3: relaxed, PBE.

```
5
Lattice="3.972 0.000 0.000 0.000 3.972 0.000 0.000 0.000 3.972" Properties=species:S:1:pos:R:3 pbc="T T T"
Al 0.000 0.000 0.000
Se 1.986 1.986 1.986
F 1.986 0.000 0.000
F 0.000 0.000 1.986
F 0.000 1.986 0.000
```

## Properties
As for the density of states at the Fermi level: 1.46 states/eV/f.u.

***

Least stable of them? w.